Entry 1:
# Ce5PmBi5 | the Alexandria database | PBE | optimized geometry
data_Ce5PmBi5
_cell_length_a 14.395
_cell_length_b 6.465
_cell_length_c 9.106
_cell_angle_alpha 90.00
_cell_angle_beta 108.50
_cell_angle_gamma 90.00
_symmetry_space_group_name_H-M 'C 1 2/m 1'
_symmetry_Int_Tables_number 12
_symmetry_space_group_name_Hall '-C 2y'
loop_
_atom_site_label
_atom_site_type_symbol
_atom_site_fract_x
_atom_site_fract_y
_atom_site_fract_z
Ce1 Ce 0.000 0.000 0.000
Ce2 Ce 0.163 0.500 0.328
Ce3 Ce 0.165 0.500 0.835
Pm1 Pm 0.000 0.000 0.500
Bi1 Bi 0.000 0.500 0.500
Bi2 Bi 0.167 0.000 0.834
Bi3 Bi 0.170 0.000 0.334
# Fermi-level density of states, states/eV/f.u.: 40.365
# Total magnetic moment, μB per atom: 0.15
# E_tot, eV/atom: -5.487

***

Entry 2:
# Ce2PmBi4 | the Alexandria database | PBE | optimized geometry
data_Ce2PmBi4
_cell_length_a 9.581
_cell_length_b 9.581
_cell_length_c 9.581
_cell_angle_alpha 90.00
_cell_angle_beta 90.00
_cell_angle_gamma 90.00
_symmetry_space_group_name_H-M 'I -4 2 d'
_symmetry_Int_Tables_number 122
_symmetry_space_group_name_Hall 'I -4 2bw'
loop_
_atom_site_label
_atom_site_type_symbol
_atom_site_fract_x
_atom_site_fract_y
_atom_site_fract_z
Ce1 Ce 0.126 0.250 0.125
Pm1 Pm 0.000 0.000 0.500
Bi1 Bi 0.080 0.170 0.798
# Fermi-level density of states, states/eV/f.u.: 7.912
# Total magnetic moment, μB per atom: 0.06
# E_tot, eV/atom: -5.306

***

Entry 3:
# Ce2PmPrBi4 | the Alexandria database | PBE | optimized geometry
data_Ce2PmPrBi4
_cell_length_a 7.977
_cell_length_b 4.605
_cell_length_c 7.978
_cell_angle_alpha 90.00
_cell_angle_beta 109.46
_cell_angle_gamma 90.00
_symmetry_space_group_name_H-M 'P 1 2/m 1'
_symmetry_Int_Tables_number 10
_symmetry_space_group_name_Hall '-P 2y'
loop_
_atom_site_label
_atom_site_type_symbol
_atom_site_fract_x
_atom_site_fract_y
_atom_site_fract_z
Ce1 Ce 0.000 0.000 0.000
Ce2 Ce 0.000 0.500 0.500
Pm1 Pm 0.500 0.000 0.500
Pr1 Pr 0.500 0.500 0.000
Bi1 Bi 0.247 0.000 0.747
Bi2 Bi 0.248 0.500 0.251
# Fermi-level density of states, states/eV/f.u.: 13.303
# Total magnetic moment, μB per atom: 0.21
# E_tot, eV/atom: -5.490

***

Entry 4:
# Ce3Pm2PrBi6 | the Alexandria database | PBE | optimized geometry
data_Ce3Pm2PrBi6
_cell_length_a 7.969
_cell_length_b 13.802
_cell_length_c 7.971
_cell_angle_alpha 90.00
_cell_angle_beta 109.47
_cell_angle_gamma 90.00
_symmetry_space_group_name_H-M 'C 1 2/m 1'
_symmetry_Int_Tables_number 12
_symmetry_space_group_name_Hall '-C 2y'
loop_
_atom_site_label
_atom_site_type_symbol
_atom_site_fract_x
_atom_site_fract_y
_atom_site_fract_z
Ce1 Ce 0.000 0.000 0.000
Ce2 Ce 0.000 0.334 0.000
Pm1 Pm 0.000 0.167 0.500
Pr1 Pr 0.000 0.500 0.500
Bi1 Bi 0.248 0.000 0.751
Bi2 Bi 0.248 0.168 0.248
# Fermi-level density of states, states/eV/f.u.: 19.795
# Total magnetic moment, μB per atom: 0.21
# E_tot, eV/atom: -5.487

***

Entry 5:
# CePmPr2Bi4 | the Alexandria database | PBE | optimized geometry
data_CePmPr2Bi4
_cell_length_a 7.992
_cell_length_b 4.611
_cell_length_c 7.993
_cell_angle_alpha 90.00
_cell_angle_beta 109.39
_cell_angle_gamma 90.00
_symmetry_space_group_name_H-M 'P 1 2/m 1'
_symmetry_Int_Tables_number 10
_symmetry_space_group_name_Hall '-P 2y'
loop_
_atom_site_label
_atom_site_type_symbol
_atom_site_fract_x
_atom_site_fract_y
_atom_site_fract_z
Ce1 Ce 0.000 0.000 0.000
Pm1 Pm 0.500 0.500 0.000
Pr1 Pr 0.000 0.500 0.500
Pr2 Pr 0.500 0.000 0.500
Bi1 Bi 0.248 0.500 0.246
Bi2 Bi 0.251 0.000 0.754
# Fermi-level density of states, states/eV/f.u.: 7.947
# Total magnetic moment, μB per atom: 0.10
# E_tot, eV/atom: -5.386

***

Entry 6:
# CePmPrBi | the Alexandria database | PBE | optimized geometry
data_CePmPrBi
_cell_length_a 7.913
_cell_length_b 7.913
_cell_length_c 7.913
_cell_angle_alpha 90.00
_cell_angle_beta 90.00
_cell_angle_gamma 90.00
_symmetry_space_group_name_H-M 'F -4 3 m'
_symmetry_Int_Tables_number 216
_symmetry_space_group_name_Hall 'F -4 2 3'
loop_
_atom_site_label
_atom_site_type_symbol
_atom_site_fract_x
_atom_site_fract_y
_atom_site_fract_z
Ce1 Ce 0.000 0.000 0.000
Pm1 Pm 0.250 0.250 0.750
Pr1 Pr 0.250 0.250 0.250
Bi1 Bi 0.000 0.000 0.500
# Fermi-level density of states, states/eV/f.u.: 10.019
# Total magnetic moment, μB per atom: 0.32
# E_tot, eV/atom: -5.002

***

Entry 7:
# CePm2PrBi4 | the Alexandria database | PBE | optimized geometry
data_CePm2PrBi4
_cell_length_a 7.966
_cell_length_b 4.596
_cell_length_c 7.967
_cell_angle_alpha 90.00
_cell_angle_beta 109.40
_cell_angle_gamma 90.00
_symmetry_space_group_name_H-M 'P 1 2/m 1'
_symmetry_Int_Tables_number 10
_symmetry_space_group_name_Hall '-P 2y'
loop_
_atom_site_label
_atom_site_type_symbol
_atom_site_fract_x
_atom_site_fract_y
_atom_site_fract_z
Ce1 Ce 0.000 0.000 0.000
Pm1 Pm 0.500 0.000 0.500
Pm2 Pm 0.500 0.500 0.000
Pr1 Pr 0.000 0.500 0.500
Bi1 Bi 0.251 0.500 0.248
Bi2 Bi 0.252 0.000 0.753
# Fermi-level density of states, states/eV/f.u.: 7.988
# Total magnetic moment, μB per atom: 0.10
# E_tot, eV/atom: -5.377

***

Entry 8:
# Ce2PmPuBi4 | the Alexandria database | PBE | optimized geometry
data_Ce2PmPuBi4
_cell_length_a 7.918
_cell_length_b 4.585
_cell_length_c 7.943
_cell_angle_alpha 90.00
_cell_angle_beta 109.53
_cell_angle_gamma 90.00
_symmetry_space_group_name_H-M 'P 1 2/m 1'
_symmetry_Int_Tables_number 10
_symmetry_space_group_name_Hall '-P 2y'
loop_
_atom_site_label
_atom_site_type_symbol
_atom_site_fract_x
_atom_site_fract_y
_atom_site_fract_z
Ce1 Ce 0.000 0.000 0.000
Ce2 Ce 0.000 0.500 0.500
Pm1 Pm 0.500 0.000 0.500
Pu1 Pu 0.500 0.500 0.000
Bi1 Bi 0.249 0.500 0.249
Bi2 Bi 0.251 0.000 0.751
# Fermi-level density of states, states/eV/f.u.: 27.803
# Total magnetic moment, μB per atom: 0.86
# E_tot, eV/atom: -6.526